Entry 1:
First-principles (GGA-PBEsol) data for a geometry-optimized CdFeTc structure, as listed in the Alexandria database.

The space group is I4mm (107). As for the energy above the most stable polymorph in this dataset: 0.0000 eV/atom.

Cell lengths 2.775, 2.775, 11.177 Å; angles 90.00, 90.00, 90.00 degrees
Element x y z (fractional)
Cd  0.000  0.000  0.000
Cd  0.500  0.500  0.500
Fe  0.000  0.000  0.679
Fe  0.500  0.500  0.179
Tc  0.000  0.000  0.302
Tc  0.500  0.500  0.802


Entry 2:
First-principles (GGA-PBEsol) data for a geometry-optimized BaGa2Ge2O8 structure, as listed in the Alexandria database.

The space group is C2/c (15). As for the energy above the most stable polymorph in this dataset: 0.0174 eV/atom. The uncorrected formation energy comes out at -26.23 eV/f.u.

Cell lengths 9.688, 9.688, 8.923 Å; angles 97.93, 97.93, 88.87 degrees
Element x y z (fractional)
Ba  0.065  0.566  0.793
Ba  0.434  0.935  0.707
Ba  0.566  0.065  0.293
Ba  0.935  0.434  0.207
Ga  0.051  0.796  0.475
Ga  0.204  0.949  0.025
Ga  0.298  0.434  0.114
Ga  0.434  0.298  0.614
Ga  0.566  0.702  0.386
Ga  0.702  0.566  0.886
Ga  0.796  0.051  0.975
Ga  0.949  0.204  0.525
Ge  0.071  0.212  0.896
Ge  0.212  0.071  0.396
Ge  0.288  0.558  0.482
Ge  0.442  0.712  0.018
Ge  0.558  0.288  0.982
Ge  0.712  0.442  0.518
Ge  0.788  0.929  0.604
Ge  0.929  0.788  0.104
O  0.022  0.272  0.720
O  0.065  0.819  0.001
O  0.073  0.187  0.386
O  0.130  0.373  0.003
O  0.144  0.647  0.550
O  0.181  0.935  0.499
O  0.187  0.073  0.886
O  0.231  0.476  0.298
O  0.272  0.022  0.220
O  0.316  0.444  0.621
O  0.320  0.579  0.006
O  0.353  0.856  0.950
O  0.373  0.130  0.503
O  0.421  0.680  0.494
O  0.444  0.316  0.121
O  0.476  0.231  0.798
O  0.524  0.769  0.202
O  0.556  0.684  0.879
O  0.579  0.320  0.506
O  0.627  0.870  0.497
O  0.647  0.144  0.050
O  0.680  0.421  0.994
O  0.684  0.556  0.379
O  0.728  0.978  0.780
O  0.769  0.524  0.702
O  0.813  0.927  0.114
O  0.819  0.065  0.501
O  0.856  0.353  0.450
O  0.870  0.627  0.997
O  0.927  0.813  0.614
O  0.935  0.181  0.999
O  0.978  0.728  0.280


Entry 3:
First-principles (GGA-PBEsol) data for a geometry-optimized CaTc2Cl2 structure, as listed in the Alexandria database.

The space group is I4/mmm (139). The uncorrected formation energy comes out at 1.10 eV/f.u.

Cell lengths 4.041, 4.041, 10.787 Å; angles 90.00, 90.00, 90.00 degrees
Element x y z (fractional)
Ca  0.000  0.000  0.000
Ca  0.500  0.500  0.500
Tc  0.000  0.500  0.250
Tc  0.000  0.500  0.750
Tc  0.500  0.000  0.250
Tc  0.500  0.000  0.750
Cl  0.000  0.000  0.362
Cl  0.000  0.000  0.638
Cl  0.500  0.500  0.138
Cl  0.500  0.500  0.862


Entry 4:
First-principles (GGA-PBEsol) data for a geometry-optimized CoNiSb2 structure, as listed in the Alexandria database.

The space group is P4mm (99). The uncorrected formation energy comes out at 0.08 eV/f.u.

Cell lengths 3.584, 3.584, 5.125 Å; angles 90.00, 90.00, 90.00 degrees
Element x y z (fractional)
Co  0.000  0.000  0.000
Ni  0.500  0.500  0.372
Sb  0.000  0.000  0.491
Sb  0.500  0.500  0.882


Entry 5:
First-principles (GGA-PBEsol) data for a geometry-optimized Na2TcBr structure, as listed in the Alexandria database.

The space group is Fm-3m (225). As for the energy above the most stable polymorph in this dataset: 0.1347 eV/atom. The uncorrected formation energy comes out at 3.36 eV/f.u.

Cell lengths 7.402, 7.402, 7.402 Å; angles 90.00, 90.00, 90.00 degrees
Element x y z (fractional)
Na  0.250  0.250  0.250
Na  0.250  0.250  0.750
Na  0.250  0.750  0.250
Na  0.250  0.750  0.750
Na  0.750  0.250  0.250
Na  0.750  0.250  0.750
Na  0.750  0.750  0.250
Na  0.750  0.750  0.750
Tc  0.000  0.000  0.000
Tc  0.000  0.500  0.500
Tc  0.500  0.000  0.500
Tc  0.500  0.500  0.000
Br  0.000  0.000  0.500
Br  0.000  0.500  0.000
Br  0.500  0.000  0.000
Br  0.500  0.500  0.500


Entry 6:
First-principles (GGA-PBEsol) data for a geometry-optimized Zr3Be structure, as listed in the Alexandria database.

The space group is Imm2 (44). As for the energy above the most stable polymorph in this dataset: 0.0643 eV/atom.

Cell lengths 3.174, 10.040, 4.791 Å; angles 90.00, 90.00, 90.00 degrees
Element x y z (fractional)
Zr  0.000  0.000  0.000
Zr  0.000  0.210  0.501
Zr  0.000  0.790  0.501
Zr  0.500  0.290  0.001
Zr  0.500  0.500  0.500
Zr  0.500  0.710  0.001
Be  0.000  0.500  0.999
Be  0.500  0.000  0.499


Entry 7:
First-principles (GGA-PBEsol) data for a geometry-optimized Na2LaCd structure, as listed in the Alexandria database.

The space group is Fm-3m (225). For the total energy, the calculation gives -34.71 eV per cell.

Cell lengths 7.584, 7.584, 7.584 Å; angles 90.00, 90.00, 90.00 degrees
Element x y z (fractional)
Na  0.250  0.250  0.250
Na  0.250  0.250  0.750
Na  0.250  0.750  0.250
Na  0.250  0.750  0.750
Na  0.750  0.250  0.250
Na  0.750  0.250  0.750
Na  0.750  0.750  0.250
Na  0.750  0.750  0.750
La  0.000  0.000  0.000
La  0.000  0.500  0.500
La  0.500  0.000  0.500
La  0.500  0.500  0.000
Cd  0.000  0.000  0.500
Cd  0.000  0.500  0.000
Cd  0.500  0.000  0.000
Cd  0.500  0.500  0.500


Entry 8:
First-principles (GGA-PBEsol) data for a geometry-optimized HfBe2AgHg structure, as listed in the Alexandria database.

The space group is P4/mmm (123). For the total energy, the calculation gives -14.31 eV per cell.

Cell lengths 4.764, 4.764, 5.087 Å; angles 90.00, 90.00, 90.00 degrees
Element x y z (fractional)
Hf  0.000  0.000  0.000
Be  0.000  0.500  0.000
Be  0.500  0.000  0.000
Ag  0.000  0.000  0.500
Hg  0.500  0.500  0.500


Entry 9:
First-principles (GGA-PBEsol) data for a geometry-optimized K2BaZr structure, as listed in the Alexandria database.

The space group is P4/mmm (123). As for the energy above the most stable polymorph in this dataset: 0.0000 eV/atom.

Cell lengths 5.154, 5.154, 6.746 Å; angles 90.00, 90.00, 90.00 degrees
Element x y z (fractional)
K  0.000  0.500  0.000
K  0.500  0.000  0.000
Ba  0.000  0.000  0.500
Zr  0.500  0.500  0.500


Entry 10:
First-principles (GGA-PBEsol) data for a geometry-optimized Mg2CuIr structure, as listed in the Alexandria database.

The space group is I-4m2 (119). For the total energy, the calculation gives -36.33 eV per cell.

Cell lengths 3.862, 3.862, 7.912 Å; angles 90.00, 90.00, 90.00 degrees
Element x y z (fractional)
Mg  0.000  0.000  0.000
Mg  0.000  0.500  0.250
Mg  0.500  0.000  0.750
Mg  0.500  0.500  0.500
Cu  0.000  0.000  0.500
Cu  0.500  0.500  0.000
Ir  0.000  0.500  0.750
Ir  0.500  0.000  0.250


Entry 11:
First-principles (GGA-PBEsol) data for a geometry-optimized YPdS2I structure, as listed in the Alexandria database.

The space group is P4/mmm (123). The uncorrected formation energy comes out at 3.88 eV/f.u.

Cell lengths 4.981, 4.981, 5.696 Å; angles 90.00, 90.00, 90.00 degrees
Element x y z (fractional)
Y  0.000  0.000  0.000
Pd  0.500  0.500  0.000
S  0.000  0.500  0.500
S  0.500  0.000  0.500
I  0.000  0.000  0.500


Entry 12:
First-principles (GGA-PBEsol) data for a geometry-optimized Ba2LuCu3O6 structure, as listed in the Alexandria database.

The space group is P4/mmm (123). The uncorrected formation energy comes out at -23.21 eV/f.u.

Cell lengths 3.804, 3.804, 11.829 Å; angles 90.00, 90.00, 90.00 degrees
Element x y z (fractional)
Ba  0.000  0.000  0.198
Ba  0.000  0.000  0.802
Lu  0.000  0.000  0.500
Cu  0.500  0.500  0.000
Cu  0.500  0.500  0.372
Cu  0.500  0.500  0.628
O  0.000  0.500  0.384
O  0.000  0.500  0.616
O  0.500  0.000  0.384
O  0.500  0.000  0.616
O  0.500  0.500  0.151
O  0.500  0.500  0.849